Record 1
# CeCuCl4 | the Alexandria database | PBE | optimized geometry
data_CeCuCl4
_chemical_formula_sum 'Ce4 Cu4 Cl16'
_cell_length_a 8.877
_cell_length_b 8.877
_cell_length_c 8.249
_cell_angle_alpha 90.00
_cell_angle_beta 90.00
_cell_angle_gamma 90.00
_symmetry_space_group_name_H-M 'I 41/a m d'
_symmetry_Int_Tables_number 141
loop_
_symmetry_equiv_pos_as_xyz
'x,y,z'
'-x,-y,-z'
'-y+1/4,x+3/4,z+1/4'
'y+1/4,-x+3/4,-z+1/4'
'-x+1/2,-y,z+1/2'
'x+1/2,y,-z+1/2'
'y+1/4,-x+1/4,z+3/4'
'-y+1/4,x+1/4,-z+3/4'
'x,-y,-z'
'-x,y,z'
'-y+1/4,-x+1/4,-z+3/4'
'y+1/4,x+1/4,z+3/4'
'-x+1/2,y,-z+1/2'
'x+1/2,-y,z+1/2'
'y+1/4,x+3/4,-z+1/4'
'-y+1/4,-x+3/4,z+1/4'
'x+1/2,y+1/2,z+1/2'
'-x+1/2,-y+1/2,-z+1/2'
'-y+3/4,x+1/4,z+3/4'
'y+3/4,-x+1/4,-z+3/4'
'-x,-y+1/2,z'
'x,y+1/2,-z'
'y+3/4,-x+3/4,z+1/4'
'-y+3/4,x+3/4,-z+1/4'
'x+1/2,-y+1/2,-z+1/2'
'-x+1/2,y+1/2,z+1/2'
'-y+3/4,-x+3/4,-z+1/4'
'y+3/4,x+3/4,z+1/4'
'-x,y+1/2,-z'
'x,-y+1/2,z'
'y+3/4,x+1/4,-z+3/4'
'-y+3/4,-x+1/4,z+3/4'
loop_
_atom_site_label
_atom_site_type_symbol
_atom_site_fract_x
_atom_site_fract_y
_atom_site_fract_z
Ce1 Ce 0.000 0.250 0.375
Cu1 Cu 0.000 0.250 0.875
Cl1 Cl 0.000 0.064 0.681
# Total energy (eV for the cell shown): -107.702
# Formation energy (no corrections) (meV per atom): -1585
# Size of the total moment (μB per atom): 0.167
# Fermi-level density of states (states/eV per atom): 1.469
# Energy above the most stable polymorph in this dataset (eV/atom): 0.000


Record 2
# CsKHg2Au | the Alexandria database | PBE | optimized geometry
data_CsKHg2Au
_chemical_formula_sum 'Cs1 K1 Hg2 Au1'
_cell_length_a 5.625
_cell_length_b 5.625
_cell_length_c 6.460
_cell_angle_alpha 90.00
_cell_angle_beta 90.00
_cell_angle_gamma 90.00
_symmetry_space_group_name_H-M 'P 4/m m m'
_symmetry_Int_Tables_number 123
_symmetry_space_group_name_Hall '-P 4 2'
loop_
_atom_site_label
_atom_site_type_symbol
_atom_site_fract_x
_atom_site_fract_y
_atom_site_fract_z
Cs1 Cs 0.000 0.000 0.000
K1 K 0.500 0.500 0.000
Hg1 Hg 0.000 0.500 0.500
Au1 Au 0.000 0.000 0.500
# Total energy (eV for the cell shown): -6.317
# Size of the total moment (μB per atom): 0.000
# Fermi-level density of states (states/eV per atom): 0.570
# Energy of formation from the pure elements (eV per atom): -0.097
# Energy above the most stable polymorph in this dataset (eV/atom): 0.168